(1)
5
Lattice="5.439 0.000 0.000 0.000 5.439 0.000 0.000 0.000 5.439" Properties=species:S:1:pos:R:3 comment="KTiBi3 SCAN single point on PBEsol structure" ef_ev_per_atom=-0.171 e_tot_ev_per_atom=-52.191 dos_at_fermi_per_ev_fu=4.12 space_group="Pm-3m, No. 221" magmom_total_mub_per_fu=0.00 pbc="T T T"
K 2.719 2.719 2.719
Bi 0.000 2.719 0.000
Bi 0.000 0.000 2.719
Bi 2.719 0.000 0.000
Ti 0.000 0.000 0.000

(2)
4
Lattice="5.615 0.000 0.000 2.807 4.862 0.000 2.807 1.621 4.584" Properties=species:S:1:pos:R:3 comment="KTlBi2 SCAN single point on PBEsol structure" ef_ev_per_atom=0.014 e_tot_ev_per_atom=-59.448 dos_at_fermi_per_ev_fu=3.25 space_group="Fm-3m, No. 225" magmom_total_mub_per_fu=0.00 pbc="T T T"
K 0.000 0.000 0.000
Tl 5.615 3.242 2.292
Bi 2.807 1.621 1.146
Bi 8.422 4.862 3.438

(3)
5
Lattice="-1.985 -4.958 1.154 5.068 -2.041 -0.050 0.477 1.052 5.340" Properties=species:S:1:pos:R:3 comment="KBi3W SCAN single point on PBEsol structure" ef_ev_per_atom=0.472 e_tot_ev_per_atom=-62.280 dos_at_fermi_per_ev_fu=3.53 space_group="Pm-3m, No. 221" magmom_total_mub_per_fu=0.00 pbc="T T T"
K 1.780 -2.974 3.222
Bi 2.534 -1.020 -0.025
Bi 0.238 0.526 2.670
Bi -0.993 -2.479 0.577
W 0.000 0.000 0.000